[1]
A geometry-optimized TmGaNi2 structure. Source: Alexandria, functional PBE.

a b c (Å): 3.1950 3.1950 6.0506
angles (deg): 90.00 90.00 90.00
Positions (direct):
Tm 0.0000 0.0000 0.0000
Ga 0.0000 0.0000 0.5000
Ni 0.5000 0.5000 0.2909
Ni 0.5000 0.5000 0.7091

Computed properties:
total moment	0.00	μB per cell
electronic total energy	-20.65	eV per cell
formation enthalpy at 0 K	-0.397	eV per atom
space-group type	P4/mmm (123)

---

[2]
A geometry-optimized Ta3Cu2N structure. Source: Alexandria, functional PBE.

a b c (Å): 6.9145 6.9145 6.9145
angles (deg): 90.00 90.00 90.00
Positions (direct):
Ta 0.0433 0.1250 0.7933
Ta 0.1250 0.7933 0.0433
Ta 0.2067 0.5433 0.3750
Ta 0.2933 0.4567 0.8750
Ta 0.3750 0.2067 0.5433
Ta 0.4567 0.8750 0.2933
Ta 0.5433 0.3750 0.2067
Ta 0.6250 0.7067 0.9567
Ta 0.7067 0.9567 0.6250
Ta 0.7933 0.0433 0.1250
Ta 0.8750 0.2933 0.4567
Ta 0.9567 0.6250 0.7067
Cu 0.0708 0.9292 0.4292
Cu 0.1792 0.1792 0.1792
Cu 0.3208 0.8208 0.6792
Cu 0.4292 0.0708 0.9292
Cu 0.5708 0.5708 0.5708
Cu 0.6792 0.3208 0.8208
Cu 0.8208 0.6792 0.3208
Cu 0.9292 0.4292 0.0708
N 0.1250 0.3750 0.6250
N 0.3750 0.6250 0.1250
N 0.6250 0.1250 0.3750
N 0.8750 0.8750 0.8750

Computed properties:
total moment	0.00	μB per cell
electronic total energy	-218.78	eV per cell
formation energy (no corrections)	-0.436	eV/atom
space-group type	P4_132 (213)

---

[3]
A geometry-optimized ZrGaN2 structure. Source: Alexandria, functional PBE.

a b c (Å): 3.2396 3.2396 18.3078
angles (deg): 90.00 90.00 120.00
Positions (direct):
Zr 0.0000 0.0000 0.0000
Zr 0.3333 0.6667 0.6667
Zr 0.6667 0.3333 0.3333
Ga 0.0000 0.0000 0.5000
Ga 0.3333 0.6667 0.1667
Ga 0.6667 0.3333 0.8333
N 0.0000 0.0000 0.1117
N 0.0000 0.0000 0.8883
N 0.3333 0.6667 0.5550
N 0.3333 0.6667 0.7784
N 0.6667 0.3333 0.2216
N 0.6667 0.3333 0.4450

Computed properties:
polymorph energy (0 for the lowest one)	0.884	eV/atom
total moment	0.00	μB per cell
electronic total energy	-82.04	eV per cell
formation energy (no corrections)	0.220	eV/atom
space-group type	R-3m (166)

---

[4]
A geometry-optimized K2GeO structure. Source: Alexandria, functional PBE.

a b c (Å): 11.1238 11.1238 4.2173
angles (deg): 90.00 90.00 90.00
Positions (direct):
K 0.0489 0.2500 0.1250
K 0.2500 0.5489 0.3750
K 0.2500 0.9511 0.8750
K 0.4511 0.2500 0.6250
K 0.5489 0.7500 0.6250
K 0.7500 0.0489 0.8750
K 0.7500 0.4511 0.3750
K 0.9511 0.7500 0.1250
Ge 0.0000 0.0000 0.5000
Ge 0.0000 0.5000 0.7500
Ge 0.5000 0.0000 0.2500
Ge 0.5000 0.5000 0.0000
O 0.0000 0.0000 0.0000
O 0.0000 0.5000 0.2500
O 0.5000 0.0000 0.7500
O 0.5000 0.5000 0.5000

Computed properties:
polymorph energy (0 for the lowest one)	0.000	eV/atom
total moment	3.45	μB per cell
electronic total energy	-54.44	eV per cell
formation energy (no corrections)	-0.460	eV/atom
space-group type	I-42d (122)

---

[5]
A geometry-optimized NaErSnI6 structure. Source: Alexandria, functional PBE.

a b c (Å): 7.8514 7.8514 14.0170
angles (deg): 90.00 90.00 120.00
Positions (direct):
Na 0.3333 0.6667 0.2500
Na 0.6667 0.3333 0.7500
Er 0.3333 0.6667 0.7500
Er 0.6667 0.3333 0.2500
Sn 0.0000 0.0000 0.0000
Sn 0.0000 0.0000 0.5000
I 0.0181 0.3525 0.6253
I 0.0181 0.6656 0.8747
I 0.3344 0.3525 0.8747
I 0.3344 0.9819 0.6253
I 0.3525 0.0181 0.1253
I 0.3525 0.3344 0.3747
I 0.6475 0.6656 0.6253
I 0.6475 0.9819 0.8747
I 0.6656 0.0181 0.3747
I 0.6656 0.6475 0.1253
I 0.9819 0.3344 0.1253
I 0.9819 0.6475 0.3747

Computed properties:
total moment	0.00	μB per cell
electronic total energy	-56.75	eV per cell
formation energy (no corrections)	-1.021	eV/atom
space-group type	P-31c (163)

---

[6]
A geometry-optimized NaLi2Br structure. Source: Alexandria, functional PBE.

a b c (Å): 7.6877 7.6877 8.2820
angles (deg): 90.00 90.00 90.00
Positions (direct):
Na 0.0000 0.0000 0.0000
Na 0.0000 0.5000 0.2500
Na 0.5000 0.0000 0.7500
Na 0.5000 0.5000 0.5000
Li 0.1668 0.7500 0.6250
Li 0.2500 0.1668 0.3750
Li 0.2500 0.3332 0.8750
Li 0.3332 0.7500 0.1250
Li 0.6668 0.2500 0.1250
Li 0.7500 0.6668 0.8750
Li 0.7500 0.8332 0.3750
Li 0.8332 0.2500 0.6250
Br 0.0000 0.0000 0.5000
Br 0.0000 0.5000 0.7500
Br 0.5000 0.0000 0.2500
Br 0.5000 0.5000 0.0000

Computed properties:
polymorph energy (0 for the lowest one)	0.099	eV/atom
total moment	0.00	μB per cell
electronic total energy	-35.80	eV per cell
formation energy (no corrections)	-0.532	eV/atom
space-group type	I-42d (122)

---

[7]
A geometry-optimized SrMg4Tl2 structure. Source: Alexandria, functional PBE.

a b c (Å): 8.9010 8.9010 4.7758
angles (deg): 90.00 90.00 90.00
Positions (direct):
Sr 0.0000 0.0000 0.0000
Sr 0.5000 0.5000 0.5000
Mg 0.0923 0.3473 0.5000
Mg 0.1527 0.5923 0.0000
Mg 0.3473 0.0923 0.5000
Mg 0.4077 0.8473 0.0000
Mg 0.5923 0.1527 0.0000
Mg 0.6527 0.9077 0.5000
Mg 0.8473 0.4077 0.0000
Mg 0.9077 0.6527 0.5000
Tl 0.2171 0.7829 0.5000
Tl 0.2829 0.2829 0.0000
Tl 0.7171 0.7171 0.0000
Tl 0.7829 0.2171 0.5000

Computed properties:
total moment	0.00	μB per cell
electronic total energy	-27.97	eV per cell
formation enthalpy at 0 K	-0.170	eV per atom
space-group type	P4_2/mnm (136)

---

[8]
A geometry-optimized RbErBeF6 structure. Source: Alexandria, functional PBE.

a b c (Å): 6.5397 5.8330 7.3067
angles (deg): 90.00 114.18 90.00
Positions (direct):
Rb 0.0862 0.2500 0.2136
Rb 0.9138 0.7500 0.7864
Er 0.3966 0.2500 0.8234
Er 0.6034 0.7500 0.1766
Be 0.2311 0.7500 0.4637
Be 0.7689 0.2500 0.5363
F 0.0045 0.2500 0.7190
F 0.2526 0.5325 0.5959
F 0.2526 0.9675 0.5959
F 0.3220 0.5012 0.0238
F 0.3220 0.9988 0.0238
F 0.4140 0.7500 0.3801
F 0.5860 0.2500 0.6199
F 0.6780 0.0012 0.9762
F 0.6780 0.4988 0.9762
F 0.7474 0.0325 0.4041
F 0.7474 0.4675 0.4041
F 0.9955 0.7500 0.2810

Computed properties:
total moment	0.00	μB per cell
electronic total energy	-106.17	eV per cell
formation energy (no corrections)	-3.622	eV/atom
space-group type	P2_1/m (11)

---

[9]
A geometry-optimized TiV2SnC structure. Source: Alexandria, functional PBE.

a b c (Å): 4.0277 4.0277 4.3377
angles (deg): 90.00 90.00 90.00
Positions (direct):
Ti 0.0000 0.0000 0.0000
V 0.0000 0.5000 0.5000
V 0.5000 0.0000 0.5000
Sn 0.5000 0.5000 0.0000
C 0.0000 0.0000 0.5000

Computed properties:
total moment	0.00	μB per cell
electronic total energy	-40.94	eV per cell
formation enthalpy at 0 K	-0.317	eV per atom
space-group type	P4/mmm (123)

---

[10]
A geometry-optimized AcP2PdPt4 structure. Source: Alexandria, functional PBE.

a b c (Å): 4.1966 4.1966 8.8840
angles (deg): 90.00 90.00 90.00
Positions (direct):
Ac 0.0000 0.0000 0.0000
P 0.5000 0.5000 0.1861
P 0.5000 0.5000 0.8139
Pd 0.0000 0.0000 0.5000
Pt 0.0000 0.5000 0.3020
Pt 0.0000 0.5000 0.6980
Pt 0.5000 0.0000 0.3020
Pt 0.5000 0.0000 0.6980

Computed properties:
total moment	0.00	μB per cell
electronic total energy	-48.57	eV per cell
formation enthalpy at 0 K	-0.536	eV per atom
space-group type	P4/mmm (123)

---

[11]
A geometry-optimized Tl8In2Ga structure. Source: Alexandria, functional PBE.

a b c (Å): 8.5275 8.5275 5.5170
angles (deg): 101.38 101.38 64.80
Positions (direct):
Tl 0.1238 0.1238 0.8285
Tl 0.1434 0.7096 0.7004
Tl 0.2691 0.2691 0.4227
Tl 0.2904 0.8566 0.2996
Tl 0.7096 0.1434 0.7004
Tl 0.7309 0.7309 0.5773
Tl 0.8566 0.2904 0.2996
Tl 0.8762 0.8762 0.1715
In 0.3838 0.3838 0.9976
In 0.6162 0.6162 0.0024
Ga 0.5000 0.5000 0.5000

Computed properties:
polymorph energy (0 for the lowest one)	0.029	eV/atom
total moment	0.00	μB per cell
electronic total energy	-26.35	eV per cell
formation enthalpy at 0 K	0.099	eV per atom
space-group type	C2/m (12)

---

[12]
A geometry-optimized CrWS3 structure. Source: Alexandria, functional PBE.

a b c (Å): 4.4842 4.4842 4.4842
angles (deg): 90.00 90.00 90.00
Positions (direct):
Cr 0.0000 0.0000 0.0000
W 0.5000 0.5000 0.5000
S 0.0000 0.0000 0.5000
S 0.0000 0.5000 0.0000
S 0.5000 0.0000 0.0000

Computed properties:
polymorph energy (0 for the lowest one)	0.000	eV/atom
total moment	5.82	μB per cell
electronic total energy	-30.84	eV per cell
formation energy (no corrections)	0.824	eV/atom
space-group type	Pm-3m (221)

---

[13]
A geometry-optimized Ce2FeP4Ir3 structure. Source: Alexandria, functional PBE.

a b c (Å): 4.1411 4.1411 9.4496
angles (deg): 90.00 90.00 90.00
Positions (direct):
Ce 0.0000 0.5000 0.2487
Ce 0.5000 0.0000 0.7513
Fe 0.0000 0.0000 0.5000
P 0.0000 0.0000 0.0000
P 0.0000 0.5000 0.6312
P 0.5000 0.0000 0.3688
P 0.5000 0.5000 0.0000
Ir 0.0000 0.5000 0.8838
Ir 0.5000 0.0000 0.1162
Ir 0.5000 0.5000 0.5000

Computed properties:
total moment	0.00	μB per cell
electronic total energy	-78.59	eV per cell
formation enthalpy at 0 K	-1.003	eV per atom
space-group type	P-4m2 (115)

---

[14]
A geometry-optimized YTlAu2 structure. Source: Alexandria, functional PBE.

a b c (Å): 4.8344 4.8344 3.9158
angles (deg): 90.00 90.00 90.00
Positions (direct):
Y 0.0000 0.0000 0.0000
Tl 0.5000 0.5000 0.0000
Au 0.0000 0.5000 0.5000
Au 0.5000 0.0000 0.5000

Computed properties:
total moment	0.00	μB per cell
electronic total energy	-17.24	eV per cell
formation enthalpy at 0 K	-0.463	eV per atom
space-group type	P4/mmm (123)

---

[15]
A geometry-optimized MgSe2Br structure. Source: Alexandria, functional PBE.

a b c (Å): 4.3445 4.3445 21.9784
angles (deg): 90.00 90.00 90.00
Positions (direct):
Mg 0.0000 0.0000 0.0000
Mg 0.0000 0.5000 0.2500
Mg 0.5000 0.0000 0.7500
Mg 0.5000 0.5000 0.5000
Se 0.1367 0.2500 0.1250
Se 0.2500 0.6367 0.3750
Se 0.2500 0.8633 0.8750
Se 0.3633 0.2500 0.6250
Se 0.6367 0.7500 0.6250
Se 0.7500 0.1367 0.8750
Se 0.7500 0.3633 0.3750
Se 0.8633 0.7500 0.1250
Br 0.0000 0.0000 0.5000
Br 0.0000 0.5000 0.7500
Br 0.5000 0.0000 0.2500
Br 0.5000 0.5000 0.0000

Computed properties:
polymorph energy (0 for the lowest one)	0.259	eV/atom
total moment	0.00	μB per cell
electronic total energy	-47.38	eV per cell
formation energy (no corrections)	-0.402	eV/atom
space-group type	I-42d (122)

---

[16]
A geometry-optimized TlPSCl2 structure. Source: Alexandria, functional PBE.

a b c (Å): 5.1382 5.1382 5.5953
angles (deg): 90.00 90.00 90.00
Positions (direct):
Tl 0.0000 0.0000 0.0000
P 0.0000 0.0000 0.5000
S 0.5000 0.5000 0.5000
Cl 0.0000 0.5000 0.0000
Cl 0.5000 0.0000 0.0000

Computed properties:
polymorph energy (0 for the lowest one)	1.031	eV/atom
total moment	1.41	μB per cell
electronic total energy	-12.00	eV per cell
formation energy (no corrections)	0.720	eV/atom
space-group type	P4/mmm (123)

---

[17]
A geometry-optimized V3AgSe structure. Source: Alexandria, functional PBE.

a b c (Å): 4.8765 4.8765 4.8765
angles (deg): 90.00 90.00 90.00
Positions (direct):
V 0.0000 0.0000 0.5000
V 0.0000 0.5000 0.0000
V 0.5000 0.0000 0.0000
Ag 0.0000 0.0000 0.0000
Se 0.5000 0.5000 0.5000

Computed properties:
polymorph energy (0 for the lowest one)	0.839	eV/atom
total moment	7.91	μB per cell
electronic total energy	-26.19	eV per cell
formation energy (no corrections)	1.501	eV/atom
space-group type	Pm-3m (221)

---

[18]
A geometry-optimized NiIr2Ru structure. Source: Alexandria, functional PBE.

a b c (Å): 4.1168 4.1168 12.0366
angles (deg): 90.00 90.00 120.00
Positions (direct):
Ni 0.0000 0.0000 0.0000
Ni 0.3333 0.6667 0.6667
Ni 0.6667 0.3333 0.3333
Ir 0.0000 0.0000 0.3542
Ir 0.0000 0.0000 0.5715
Ir 0.3333 0.6667 0.0209
Ir 0.3333 0.6667 0.2382
Ir 0.6667 0.3333 0.6875
Ir 0.6667 0.3333 0.9049
Ru 0.0000 0.0000 0.7867
Ru 0.3333 0.6667 0.4534
Ru 0.6667 0.3333 0.1201

Computed properties:
polymorph energy (0 for the lowest one)	0.354	eV/atom
total moment	0.00	μB per cell
electronic total energy	-94.22	eV per cell
formation enthalpy at 0 K	0.343	eV per atom
space-group type	R3m (160)

---

[19]
A geometry-optimized AlCd4Bi structure. Source: Alexandria, functional PBE.

a b c (Å): 5.9496 5.9496 5.9496
angles (deg): 60.00 60.00 60.00
Positions (direct):
Al 0.0000 0.0000 0.0000
Cd 0.1240 0.6253 0.6253
Cd 0.6253 0.1240 0.6253
Cd 0.6253 0.6253 0.1240
Cd 0.6253 0.6253 0.6253
Bi 0.2500 0.2500 0.2500

Computed properties:
total moment	0.00	μB per cell
electronic total energy	-9.94	eV per cell
formation enthalpy at 0 K	0.223	eV per atom
space-group type	F-43m (216)

---

[20]
A geometry-optimized H2RuRh2 structure. Source: Alexandria, functional PBE.

a b c (Å): 3.4143 3.4143 8.3247
angles (deg): 90.00 90.00 90.00
Positions (direct):
H 0.0000 0.5000 0.2500
H 0.0000 0.5000 0.7500
H 0.5000 0.0000 0.2500
H 0.5000 0.0000 0.7500
Ru 0.0000 0.0000 0.0000
Ru 0.5000 0.5000 0.5000
Rh 0.0000 0.0000 0.3393
Rh 0.0000 0.0000 0.6607
Rh 0.5000 0.5000 0.1607
Rh 0.5000 0.5000 0.8393

Computed properties:
polymorph energy (0 for the lowest one)	0.000	eV/atom
total moment	0.46	μB per cell
electronic total energy	-59.12	eV per cell
space-group type	I4/mmm (139)

---

[21]
A geometry-optimized HoTmRhAu structure. Source: Alexandria, functional PBE.

a b c (Å): 3.4999 3.4999 6.9060
angles (deg): 90.00 90.00 90.00
Positions (direct):
Ho 0.0000 0.0000 0.0000
Tm 0.0000 0.0000 0.5256
Rh 0.5000 0.5000 0.7598
Au 0.5000 0.5000 0.2675

Computed properties:
polymorph energy (0 for the lowest one)	0.000	eV/atom
total moment	0.00	μB per cell
electronic total energy	-23.24	eV per cell
formation enthalpy at 0 K	-0.890	eV per atom
space-group type	P4mm (99)

---

[22]
A geometry-optimized TbDy7Th3 structure. Source: Alexandria, functional PBE.

a b c (Å): 6.4357 6.6854 8.6363
angles (deg): 101.33 97.09 96.76
Positions (direct):
Tb 0.0000 0.0000 0.0000
Dy 0.0000 0.5000 0.0000
Dy 0.0714 0.2151 0.6439
Dy 0.2064 0.7310 0.7050
Dy 0.4919 0.2316 0.9252
Dy 0.5081 0.7684 0.0748
Dy 0.7936 0.2690 0.2950
Dy 0.9286 0.7849 0.3561
Th 0.3245 0.4474 0.3354
Th 0.5000 0.0000 0.5000
Th 0.6755 0.5526 0.6646

Computed properties:
polymorph energy (0 for the lowest one)	0.000	eV/atom
total moment	0.00	μB per cell
electronic total energy	-57.44	eV per cell
formation enthalpy at 0 K	0.151	eV per atom
space-group type	P-1 (2)

---

[23]
A geometry-optimized AgHgTe2I structure. Source: Alexandria, functional PBE.

a b c (Å): 5.6132 5.6132 6.0895
angles (deg): 90.00 90.00 90.00
Positions (direct):
Ag 0.0000 0.0000 0.0000
Hg 0.5000 0.5000 0.5000
Te 0.0000 0.5000 0.5000
Te 0.5000 0.0000 0.5000
I 0.5000 0.5000 0.0000

Computed properties:
polymorph energy (0 for the lowest one)	0.199	eV/atom
total moment	0.00	μB per cell
electronic total energy	-7.90	eV per cell
formation energy (no corrections)	0.618	eV/atom
space-group type	P4/mmm (123)

---

[24]
A geometry-optimized NaMgBe3 structure. Source: Alexandria, functional PBE.

a b c (Å): 4.6434 4.6434 4.6434
angles (deg): 90.00 90.00 90.00
Positions (direct):
Na 0.0000 0.0000 0.0000
Mg 0.5000 0.5000 0.5000
Be 0.0000 0.5000 0.5000
Be 0.5000 0.0000 0.5000
Be 0.5000 0.5000 0.0000

Computed properties:
polymorph energy (0 for the lowest one)	0.000	eV/atom
total moment	0.00	μB per cell
electronic total energy	-7.87	eV per cell
formation enthalpy at 0 K	1.245	eV per atom
space-group type	Pm-3m (221)